Density functional theory data (GGA-PBE) for a geometry-optimized Tb2CdNi4Ge3 structure.

The formation energy comes out at -0.559 eV/atom.

a b c (Å): 4.109 4.109 10.022
angles (deg): 90.00 90.00 90.00
Space group P-4m2 (No. 115)
One atom of each set of equivalent atoms:
Tb (0.000, 0.500, 0.239) [2 per cell]
Cd (0.000, 0.000, 0.500) [1 per cell]
Ni (0.000, 0.000, 0.000) [1 per cell]
Ni (0.000, 0.500, 0.648) [2 per cell]
Ni (0.500, 0.500, 0.000) [1 per cell]
Ge (0.000, 0.500, 0.877) [2 per cell]
Ge (0.500, 0.500, 0.500) [1 per cell]

---

Density functional theory data (GGA-PBE) for a geometry-optimized Tm4Cd5Ag2 structure.

The formation energy comes out at -0.257 eV/atom.

a b c (Å): 7.679 3.461 9.978
angles (deg): 90.00 94.28 90.00
Space group P2/m (No. 10)
One atom of each set of equivalent atoms:
Tm (0.167, 0.000, 0.375) [2 per cell]
Tm (0.259, 0.000, 0.945) [2 per cell]
Cd (0.190, 0.500, 0.657) [2 per cell]
Cd (0.445, 0.500, 0.197) [2 per cell]
Cd (0.500, 0.500, 0.500) [1 per cell]
Ag (0.063, 0.500, 0.137) [2 per cell]

---

Density functional theory data (GGA-PBE) for a geometry-optimized LiPa2Pd9 structure.

The formation energy comes out at -0.683 eV/atom.

a b c (Å): 4.117 4.117 11.948
angles (deg): 90.00 90.00 90.00
Space group P4/mmm (No. 123)
One atom of each set of equivalent atoms:
Li (0.000, 0.000, 0.000) [1 per cell]
Pa (0.000, 0.000, 0.318) [2 per cell]
Pd (0.000, 0.500, 0.160) [4 per cell]
Pd (0.000, 0.500, 0.500) [2 per cell]
Pd (0.500, 0.500, 0.000) [1 per cell]
Pd (0.500, 0.500, 0.332) [2 per cell]

---

Density functional theory data (GGA-PBE) for a geometry-optimized YZnSi2 structure.

The value obtained for the uncorrected formation energy is -0.321 eV/atom.

a b c (Å): 8.356 3.764 5.097
angles (deg): 90.00 109.16 90.00
Space group C2/m (No. 12)
One atom of each set of equivalent atoms:
Y (0.000, 0.000, 0.000) [2 per cell]
Zn (0.000, 0.500, 0.500) [2 per cell]
Si (0.237, 0.000, 0.650) [4 per cell]

---

Calculated total energy in eV/atom, matching the order above: -5.274; -2.818; -6.320; -4.967